Density functional theory data (PBEsol) for a relaxed CuAsF7 crystal.

M_tot: 2.0 Bohr magnetons per cell
Formation energy (no corrections): -1.896 eV per atom
E_tot: -79.99 eV for the cell shown
DOS at the Fermi energy: 0.268 states/eV/atom

Geometry as POSCAR:
```
CuAsF7
1.0
6.7413 0.0000 0.0000
-3.3707 6.3838 0.0184
0.0000 3.6905 5.8063
F As Cu
14 2 2
Direct
0.3545 0.7681 0.9324
0.7211 0.9471 0.5264
0.6455 0.2319 0.0676
0.1002 0.5000 0.7500
0.9136 0.7681 0.7995
0.0864 0.2319 0.2005
0.7261 0.9471 0.0264
0.3545 0.7681 0.2995
0.9136 0.7681 0.4324
0.2739 0.0529 0.9736
0.0864 0.2319 0.5676
0.6455 0.2319 0.7005
0.8998 0.5000 0.2500
0.2789 0.0529 0.4736
0.0000 0.0000 0.5000
0.5000 0.0000 0.0000
0.0000 0.5000 0.0000
0.0000 0.5000 0.5000
```

***

Density functional theory data (PBEsol) for a relaxed YZn2Tc crystal.

M_tot: 0.8 Bohr magnetons per cell
E_tot: -20.86 eV for the cell shown
DOS at the Fermi energy: 0.750 states/eV/atom
Excess energy over the best structure of this formula in the dataset: 17.6 kJ per mole of atoms

Geometry as POSCAR:
```
YZn2Tc
1.0
-0.8359 -1.3036 -3.6793
3.7895 -1.1734 -0.4452
-2.4771 -2.5933 3.6472
Zn Tc Y
2 1 1
Direct
0.0000 0.0000 0.0000
0.7500 0.2500 0.5000
0.5000 0.5000 0.0000
0.2500 0.7500 0.5000
```

***

Density functional theory data (PBEsol) for a relaxed Tm5BiPt2 crystal.

M_tot: 0.0 Bohr magnetons per cell
E_tot: -100.52 eV for the cell shown
DOS at the Fermi energy: 0.829 states/eV/atom

Geometry as POSCAR:
```
Tm5BiPt2
1.0
-0.1452 4.9560 -5.7697
-6.7353 -5.2934 0.6379
-6.4119 3.0244 2.7593
Tm Pt Bi
10 4 2
Direct
0.2925 0.2729 0.2075
0.2075 0.7271 0.9805
0.9805 0.2729 0.5195
0.7075 0.7271 0.7925
0.5195 0.7271 0.2925
0.5000 0.0000 0.5000
0.0000 0.0000 0.0000
0.7925 0.2729 0.0195
0.4805 0.2729 0.7075
0.0195 0.7271 0.4805
0.3614 0.0000 0.1386
0.8614 0.0000 0.3614
0.1386 0.0000 0.6386
0.6386 0.0000 0.8614
0.2500 0.5000 0.7500
0.7500 0.5000 0.2500
```

***

Density functional theory data (PBEsol) for a relaxed LiBiP2O crystal.

M_tot: 0.0 Bohr magnetons per cell
Formation energy (no corrections): 0.295 eV per atom
E_tot: -21.61 eV for the cell shown
DOS at the Fermi energy: 0.741 states/eV/atom

Geometry as POSCAR:
```
LiBiP2O
1.0
3.5044 0.0000 0.0000
0.0000 4.7542 0.0000
0.0000 0.0000 4.7542
P Li Bi O
2 1 1 1
Direct
0.0000 0.0000 0.5000
0.0000 0.5000 0.0000
0.0000 0.0000 0.0000
0.5000 0.5000 0.5000
0.5000 0.0000 0.0000
```

***

Density functional theory data (PBEsol) for a relaxed NaSc2TcMo crystal.

M_tot: 0.0 Bohr magnetons per cell
E_tot: -33.79 eV for the cell shown
DOS at the Fermi energy: 1.037 states/eV/atom

Geometry as POSCAR:
```
NaSc2TcMo
1.0
4.5568 0.0000 0.0000
0.0000 5.1199 0.0000
0.0000 0.0000 5.1199
Sc Mo Tc Na
2 1 1 1
Direct
0.0000 0.0000 0.5000
0.0000 0.5000 0.0000
0.0000 0.0000 0.0000
0.5000 0.0000 0.0000
0.5000 0.5000 0.5000
```

***

Density functional theory data (PBEsol) for a relaxed CdTc3Pd crystal.

M_tot: 1.2 Bohr magnetons per cell
E_tot: -30.45 eV for the cell shown
DOS at the Fermi energy: 1.594 states/eV/atom

Geometry as POSCAR:
```
CdTc3Pd
1.0
-0.0783 -3.6012 -2.9059
3.2358 2.0350 -2.6091
3.3080 -2.0758 2.4834
Pd Tc Cd
1 3 1
Direct
0.0000 0.0000 0.0000
0.0000 0.0000 0.5000
0.0000 0.5000 0.0000
0.5000 0.0000 0.0000
0.5000 0.5000 0.5000
```

***

Density functional theory data (PBEsol) for a relaxed CuOsRh2 crystal.

M_tot: 0.0 Bohr magnetons per cell
E_tot: -32.59 eV for the cell shown
DOS at the Fermi energy: 1.028 states/eV/atom
Excess energy over the best structure of this formula in the dataset: 3.3 kJ per mole of atoms

Geometry as POSCAR:
```
CuOsRh2
1.0
2.6755 0.0000 0.0000
1.3378 2.3171 0.0000
1.3378 0.7724 8.5386
Os Rh Cu
1 2 1
Direct
0.0000 0.0000 0.0000
0.7508 0.7508 0.7476
0.2492 0.2492 0.2524
0.5000 0.5000 0.5000
```

***

Density functional theory data (PBEsol) for a relaxed SiTc2Ru crystal.

M_tot: 0.0 Bohr magnetons per cell
Formation energy (no corrections): -0.146 eV per atom
E_tot: -39.04 eV for the cell shown
DOS at the Fermi energy: 1.013 states/eV/atom

Geometry as POSCAR:
```
SiTc2Ru
1.0
2.7364 0.0000 0.0000
1.3682 2.3698 0.0000
1.3682 0.7899 8.2687
Tc Si Ru
2 1 1
Direct
0.9974 0.9974 0.0078
0.7490 0.7490 0.7529
0.2485 0.2485 0.2546
0.5051 0.5051 0.4847
```

***

Density functional theory data (PBEsol) for a relaxed MgCu3Se crystal.

M_tot: 0.0 Bohr magnetons per cell
Formation energy (no corrections): 0.487 eV per atom
E_tot: -16.14 eV for the cell shown
DOS at the Fermi energy: 0.446 states/eV/atom

Geometry as POSCAR:
```
MgCu3Se
1.0
-0.1812 3.4965 -2.8943
-2.8580 -2.3382 -2.6458
-3.5263 1.7154 2.2931
Se Cu Mg
1 3 1
Direct
0.0000 0.0000 0.0000
0.0000 0.0000 0.5000
0.5000 0.0000 0.0000
0.0000 0.5000 0.0000
0.5000 0.5000 0.5000
```

***

Density functional theory data (PBEsol) for a relaxed EuMnO3 crystal.

M_tot: 9.9 Bohr magnetons per cell
Formation energy (no corrections): -2.397 eV per atom
E_tot: -48.06 eV for the cell shown
DOS at the Fermi energy: 2.003 states/eV/atom

Geometry as POSCAR:
```
EuMnO3
1.0
3.7919 0.0000 0.0000
0.0000 3.7919 0.0000
0.0000 0.0000 3.7919
O Eu Mn
3 1 1
Direct
0.0000 0.5000 0.0000
0.5000 0.0000 0.0000
0.0000 0.0000 0.5000
0.5000 0.5000 0.5000
0.0000 0.0000 0.0000
```

***

Density functional theory data (PBEsol) for a relaxed BeZn2Pt crystal.

M_tot: 0.0 Bohr magnetons per cell
E_tot: -15.51 eV for the cell shown
DOS at the Fermi energy: 0.244 states/eV/atom

Geometry as POSCAR:
```
BeZn2Pt
1.0
-2.4541 1.1067 2.4480
-1.4668 -3.3298 0.0349
4.3102 0.1059 1.5687
Pt Be Zn
1 1 2
Direct
0.2500 0.7500 0.5000
0.5000 0.5000 0.0000
0.7500 0.2500 0.5000
0.0000 0.0000 0.0000
```

***

Density functional theory data (PBEsol) for a relaxed MnSi4Hg crystal.

M_tot: 3.9 Bohr magnetons per cell
Formation energy (no corrections): 0.482 eV per atom
E_tot: -30.42 eV for the cell shown
DOS at the Fermi energy: 0.431 states/eV/atom

Geometry as POSCAR:
```
MnSi4Hg
1.0
5.1255 0.0000 0.0000
2.5627 4.4388 0.0000
2.5627 1.4796 4.1849
Si Hg Mn
4 1 1
Direct
0.6256 0.1231 0.6256
0.1231 0.6256 0.6256
0.6256 0.6256 0.6256
0.6256 0.6256 0.1231
0.2500 0.2500 0.2500
0.0000 0.0000 0.0000
```

***

> Which of these has the lowest E_tot?

Tm5BiPt2

***

> The highest DOS at the Fermi energy belongs to which entry?

EuMnO3

***

> Look up the DOS at the Fermi energy of the tenth one.

2.003 states/eV/atom